DFT (PBE) results for a relaxed structure of K2HoAgCl6.

Unit cell a=7.3074 b=7.6719 c=10.2650 alpha=90.00 beta=89.35 gamma=90.00
Last column: nearest neighbours and their distance in Å.
Fractional positions:
K (0.0216, 0.9286, 0.2508)  6 Cl 3.18-3.41
K (0.5216, 0.5714, 0.7508)  6 Cl 3.18-3.41
K (0.9784, 0.0714, 0.7492)  6 Cl 3.18-3.41
K (0.4784, 0.4286, 0.2492)  6 Cl 3.18-3.41
Cl (0.5982, 0.0263, 0.2523)  1 Ho 2.64, 1 Ag 2.70
Cl (0.3146, 0.7127, 0.4502)  1 Ho 2.64, 1 Ag 2.86
Cl (0.8146, 0.7873, 0.9502)  1 Ho 2.64, 1 Ag 2.86
Cl (0.4018, 0.9737, 0.7477)  1 Ho 2.64, 1 Ag 2.70
Cl (0.7926, 0.8109, 0.5487)  1 Ho 2.64, 1 Ag 2.87
Cl (0.7074, 0.3109, 0.9513)  1 Ho 2.64, 1 Ag 2.87
Cl (0.6854, 0.2873, 0.5498)  1 Ho 2.64, 1 Ag 2.86
Cl (0.0982, 0.4737, 0.7523)  1 Ho 2.64, 1 Ag 2.70
Cl (0.1854, 0.2127, 0.0498)  1 Ho 2.64, 1 Ag 2.86
Cl (0.2926, 0.6891, 0.0487)  1 Ho 2.64, 1 Ag 2.87
Cl (0.9018, 0.5263, 0.2477)  1 Ho 2.64, 1 Ag 2.70
Cl (0.2074, 0.1891, 0.4513)  1 Ho 2.64, 1 Ag 2.87
Ag (0.5000, 0.0000, 0.0000)  6 Cl 2.70-2.87
Ag (0.0000, 0.5000, 0.5000)  6 Cl 2.70-2.87
Ho (0.0000, 0.5000, 0.0000)  6 Cl 2.64
Ho (0.5000, 0.0000, 0.5000)  6 Cl 2.64

Calculated values
Fermi-level density of states in states/eV per cell: 0.00
Raw formation energy in meV per atom: -1818
Total magnetic moment in μB per atom: 0.000


DFT (PBE) results for a relaxed structure of Sc2CrP.

Unit cell a=4.4517 b=4.4517 c=4.4517 alpha=60.00 beta=60.00 gamma=60.00
Last column: nearest neighbours and their distance in Å.
Fractional positions:
Sc (0.0000, 0.0000, 0.0000)  4 Sc 2.73, 4 P 2.73
Sc (0.2500, 0.2500, 0.2500)  4 Cr 2.73, 4 Sc 2.73
P (0.7500, 0.7500, 0.7500)  4 Cr 2.73, 4 Sc 2.73
Cr (0.5000, 0.5000, 0.5000)  4 Sc 2.73, 4 P 2.73

Calculated values
ΔE_f in eV per atom: -0.095
Fermi-level density of states in states/eV per cell: 3.53
Total magnetic moment in μB per atom: 0.249


DFT (PBE) results for a relaxed structure of DyGaCo2H.

Unit cell a=3.5654 b=5.5002 c=7.1454 alpha=90.00 beta=90.00 gamma=108.91
Last column: nearest neighbours and their distance in Å.
Fractional positions:
Ga (0.2726, 0.5452, 0.2500)  6 Co 2.40-2.45
Ga (0.7274, 0.4548, 0.7500)  6 Co 2.40-2.45
Co (0.1579, 0.3158, 0.5492)  1 H 1.68
Co (0.8421, 0.6842, 0.0492)  1 H 1.68
Co (0.1579, 0.3158, 0.9508)  1 H 1.68
Co (0.8421, 0.6842, 0.4508)  1 H 1.68
Dy (0.5499, 0.0999, 0.2500)  4 H 2.58
Dy (0.4501, 0.9001, 0.7500)  4 H 2.58
H (0.0000, 0.0000, 0.5000)  2 Co 1.68
H (0.0000, 0.0000, 0.0000)  2 Co 1.68

Calculated values
Fermi-level density of states in states/eV per cell: 12.01
Total magnetic moment in μB per atom: 0.318
Final energy in eV per atom: -5.361